DFT (GGA-PBE) results for crystalline Ba2HgRh at its relaxed geometry. Values from VASP.

Computed properties:
Crystal system: tetragonal
Energy of formation in eV/atom: -0.0455
Calculated total energy in eV per atom: -2.920

Geometry as Quantum ESPRESSO input:
```
&SYSTEM
  ibrav = 0, nat = 4, ntyp = 3
/
ATOMIC_SPECIES
Ba 137.33 Ba.upf
Hg 200.59 Hg.upf
Rh 102.91 Rh.upf
CELL_PARAMETERS angstrom
4.717 0.000 0.000
0.000 4.717 0.000
0.000 0.000 6.552
ATOMIC_POSITIONS crystal
Ba 0.000 0.000 0.000
Ba 0.500 0.500 0.495
Hg 0.500 0.500 0.995
Rh 0.000 0.000 0.488
```

***

DFT (GGA-PBE) results for crystalline TaPCCl2 at its relaxed geometry. Values from VASP.

Computed properties:
Crystal system: tetragonal
E_form (uncorrected) in meV per atom: 1366
Calculated total energy in eV per atom: -4.670
Relative energy among the computed polymorphs in meV/atom: 234.8

Geometry as Quantum ESPRESSO input:
```
&SYSTEM
  ibrav = 0, nat = 5, ntyp = 4
/
ATOMIC_SPECIES
Ta 180.95 Ta.upf
P 30.97 P.upf
C 12.01 C.upf
Cl 35.45 Cl.upf
CELL_PARAMETERS angstrom
4.178 0.000 0.000
0.000 4.178 0.000
0.000 0.000 4.233
ATOMIC_POSITIONS crystal
Ta 0.000 0.000 0.000
P 0.500 0.500 0.000
C 0.500 0.500 0.500
Cl 0.000 0.500 0.500
Cl 0.500 0.000 0.500
```

***

DFT (GGA-PBE) results for crystalline SrLiTl6 at its relaxed geometry. Values from VASP.

Computed properties:
Crystal system: orthorhombic
Energy of formation in eV/atom: -0.1411
Calculated total energy in eV per atom: -2.365
Relative energy among the computed polymorphs in meV/atom: 9.6

Geometry as Quantum ESPRESSO input:
```
&SYSTEM
  ibrav = 0, nat = 16, ntyp = 3
/
ATOMIC_SPECIES
Sr 87.62 Sr.upf
Li 6.94 Li.upf
Tl 204.38 Tl.upf
CELL_PARAMETERS angstrom
5.673 0.000 0.000
0.000 6.924 0.000
0.000 0.000 11.987
ATOMIC_POSITIONS crystal
Sr 0.000 0.000 0.000
Sr 0.000 0.500 0.500
Li 0.500 0.000 0.667
Li 0.500 0.500 0.167
Tl 0.000 0.000 0.502
Tl 0.000 0.246 0.748
Tl 0.000 0.254 0.248
Tl 0.000 0.500 0.002
Tl 0.000 0.746 0.248
Tl 0.000 0.754 0.748
Tl 0.500 0.000 0.172
Tl 0.500 0.242 0.414
Tl 0.500 0.258 0.914
Tl 0.500 0.500 0.672
Tl 0.500 0.742 0.914
Tl 0.500 0.758 0.414
```

***

DFT (GGA-PBE) results for crystalline PuCdPdO6 at its relaxed geometry. Values from VASP.

Computed properties:
Crystal system: trigonal
E_form (uncorrected) in meV per atom: -1440
Calculated total energy in eV per atom: -7.017

Geometry as Quantum ESPRESSO input:
```
&SYSTEM
  ibrav = 0, nat = 18, ntyp = 4
/
ATOMIC_SPECIES
Pu 244.00 Pu.upf
Cd 112.41 Cd.upf
Pd 106.42 Pd.upf
O 16.00 O.upf
CELL_PARAMETERS angstrom
5.333 0.000 0.000
-2.666 4.618 0.000
0.000 0.000 9.975
ATOMIC_POSITIONS crystal
Pu 0.333 0.667 0.250
Pu 0.667 0.333 0.750
Cd 0.000 0.000 0.000
Cd 0.000 0.000 0.500
Pd 0.333 0.667 0.750
Pd 0.667 0.333 0.250
O 0.001 0.354 0.637
O 0.001 0.647 0.863
O 0.353 0.354 0.863
O 0.353 0.999 0.637
O 0.354 0.001 0.137
O 0.354 0.353 0.363
O 0.646 0.647 0.637
O 0.646 0.999 0.863
O 0.647 0.001 0.363
O 0.647 0.646 0.137
O 0.999 0.353 0.137
O 0.999 0.646 0.363
```

***

DFT (GGA-PBE) results for crystalline NaTl2BiI6 at its relaxed geometry. Values from VASP.

Computed properties:
Crystal system: trigonal
E_form (uncorrected) in meV per atom: -681
Calculated total energy in eV per atom: -2.604

Geometry as Quantum ESPRESSO input:
```
&SYSTEM
  ibrav = 0, nat = 10, ntyp = 4
/
ATOMIC_SPECIES
Na 22.99 Na.upf
Tl 204.38 Tl.upf
Bi 208.98 Bi.upf
I 126.90 I.upf
CELL_PARAMETERS angstrom
4.277 2.469 7.190
-4.277 2.469 7.190
0.000 -4.938 7.190
ATOMIC_POSITIONS crystal
Na 0.000 0.000 0.000
Tl 0.287 0.287 0.287
Tl 0.795 0.795 0.795
Bi 0.493 0.493 0.493
I 0.140 0.714 0.360
I 0.243 0.637 0.838
I 0.360 0.140 0.714
I 0.637 0.838 0.243
I 0.714 0.360 0.140
I 0.838 0.243 0.637
```

***

DFT (GGA-PBE) results for crystalline ZrOsAu at its relaxed geometry. Values from VASP.

Computed properties:
Crystal system: cubic
Energy of formation in eV/atom: 0.2992
Calculated total energy in eV per atom: -7.386
Relative energy among the computed polymorphs in meV/atom: 407.3

Geometry as Quantum ESPRESSO input:
```
&SYSTEM
  ibrav = 0, nat = 12, ntyp = 3
/
ATOMIC_SPECIES
Zr 91.22 Zr.upf
Os 190.23 Os.upf
Au 196.97 Au.upf
CELL_PARAMETERS angstrom
6.334 0.000 0.000
0.000 6.334 0.000
0.000 0.000 6.334
ATOMIC_POSITIONS crystal
Zr 0.000 0.000 0.000
Zr 0.000 0.500 0.500
Zr 0.500 0.000 0.500
Zr 0.500 0.500 0.000
Os 0.250 0.250 0.250
Os 0.250 0.750 0.750
Os 0.750 0.250 0.750
Os 0.750 0.750 0.250
Au 0.000 0.000 0.500
Au 0.000 0.500 0.000
Au 0.500 0.000 0.000
Au 0.500 0.500 0.500
```